Compound: AsPbS2
Source: Alexandria
Functional: PBE-GGA
Structure: optimized geometry

**Polymorph energy (0 for the lowest one)**: 11.61 kcal/mol of atoms
**E_form (uncorrected)**: 0.210 eV/atom

```
data_AsPbS2
_symmetry_space_group_name_H-M 'P 1'
_symmetry_Int_Tables_number 1
_symmetry_space_group_name_Hall 'P 1'
_cell_length_a 4.901
_cell_length_b 4.901
_cell_length_c 4.901
_cell_angle_alpha 60.00
_cell_angle_beta 60.00
_cell_angle_gamma 60.00
loop_
_atom_site_label
_atom_site_fract_x
_atom_site_fract_y
_atom_site_fract_z
_atom_site_occupancy
S1 0.250 0.250 0.250 1
As1 0.000 0.000 0.000 1
S2 0.750 0.750 0.750 1
Pb1 0.500 0.500 0.500 1
```